# 1
# LiCd2As

LiCd2As after structural relaxation (PBE-GGA, the Alexandria database).

Cell lengths 3.089, 3.089, 8.453 Å; angles 90.00, 90.00, 94.33 degrees
Sites, in units of the cell vectors:
1 As 0.500 0.500 0.725
2 Cd 0.000 0.000 0.986
3 Cd 0.500 0.500 0.267
4 Li 0.000 0.000 0.522

Computed properties:
theoretical density: 6.332 Mg/m³
electronic total energy: -8.83 eV per cell
formation energy: -110 meV per atom
space group: Cmm2


# 2
# LiCd3As

LiCd3As after structural relaxation (PBE-GGA, the Alexandria database).

Cell lengths 4.851, 4.851, 4.851 Å; angles 90.00, 90.00, 90.00 degrees
Sites, in units of the cell vectors:
1 As 0.500 0.500 0.500
2 Li 0.000 0.000 0.000
3 Cd 0.000 0.500 0.000
4 Cd 0.000 0.000 0.500
5 Cd 0.500 0.000 0.000

Computed properties:
E above lowest polymorph: 136 meV per atom
theoretical density: 6.097 Mg/m³
electronic total energy: -7.27 eV per cell
formation energy: 409 meV per atom
space group: Pm-3m


# 3
# LiCd2As

LiCd2As after structural relaxation (PBE-GGA, the Alexandria database).

Cell lengths 9.777, 9.777, 9.777 Å; angles 18.42, 18.42, 18.42 degrees
Sites, in units of the cell vectors:
1 As 0.750 0.750 0.750
2 Cd 0.998 0.998 0.998
3 Cd 0.502 0.502 0.502
4 Li 0.250 0.250 0.250

Computed properties:
theoretical density: 6.251 Mg/m³
electronic total energy: -8.37 eV per cell
formation energy: 5 meV per atom
space group: R-3m


# 4
# Li2CdAs

Li2CdAs after structural relaxation (PBE-GGA, the Alexandria database).

Cell lengths 5.058, 5.058, 5.058 Å; angles 131.56, 131.53, 70.95 degrees
Sites, in units of the cell vectors:
1 As 0.500 0.500 0.000
2 Cd 0.250 0.750 0.500
3 Li 0.000 0.000 0.000
4 Li 0.750 0.250 0.500

Computed properties:
theoretical density: 4.708 Mg/m³
electronic total energy: -10.82 eV per cell
formation energy: -357 meV per atom
space group: Imm2


# 5
# LiCdAs2

LiCdAs2 after structural relaxation (PBE-GGA, the Alexandria database).

Cell lengths 4.278, 2.806, 7.311 Å; angles 78.78, 90.00, 90.00 degrees
Sites, in units of the cell vectors:
1 As 0.000 0.262 0.837
2 As 0.500 0.052 0.264
3 Cd 0.000 0.472 0.465
4 Li 0.500 0.714 0.934

Computed properties:
theoretical density: 5.193 Mg/m³
electronic total energy: -12.69 eV per cell
formation energy: -141 meV per atom
space group: Pm


# 6
# LiCd2As

LiCd2As after structural relaxation (PBE-GGA, the Alexandria database).

Cell lengths 5.312, 5.312, 5.312 Å; angles 132.32, 132.32, 69.73 degrees
Sites, in units of the cell vectors:
1 As 0.750 0.250 0.500
2 Cd 0.000 0.000 0.000
3 Cd 0.250 0.750 0.500
4 Li 0.500 0.500 0.000

Computed properties:
theoretical density: 6.337 Mg/m³
electronic total energy: -9.01 eV per cell
formation energy: -153 meV per atom
space group: I-4m2


# 7
# LiCdAs2

LiCdAs2 after structural relaxation (PBE-GGA, the Alexandria database).

Cell lengths 5.423, 5.423, 5.423 Å; angles 135.48, 135.48, 64.78 degrees
Sites, in units of the cell vectors:
1 As 0.000 0.000 0.000
2 As 0.250 0.750 0.500
3 Cd 0.500 0.500 0.000
4 Li 0.750 0.250 0.500

Computed properties:
theoretical density: 5.785 Mg/m³
electronic total energy: -12.45 eV per cell
formation energy: -80 meV per atom
space group: I-4m2


# 8
# LiCdAs2O6

LiCdAs2O6 after structural relaxation (PBE-GGA, the Alexandria database).

Cell lengths 6.065, 7.096, 7.096 Å; angles 85.81, 73.25, 73.25 degrees
Sites, in units of the cell vectors:
1 Li 0.250 0.222 0.778
2 Li 0.750 0.778 0.222
3 Cd 0.250 0.889 0.111
4 Cd 0.750 0.111 0.889
5 As 0.290 0.781 0.610
6 As 0.210 0.390 0.219
7 As 0.710 0.219 0.390
8 As 0.790 0.610 0.781
9 O 0.165 0.964 0.792
10 O 0.335 0.208 0.036
11 O 0.835 0.036 0.208
12 O 0.665 0.792 0.964
13 O 0.394 0.871 0.380
14 O 0.106 0.620 0.129
15 O 0.606 0.129 0.620
16 O 0.894 0.380 0.871
17 O 0.043 0.673 0.608
18 O 0.457 0.392 0.327
19 O 0.957 0.327 0.392
20 O 0.543 0.608 0.673

Computed properties:
theoretical density: 4.332 Mg/m³
electronic total energy: -109.52 eV per cell
space group: C2/c
uncorrected formation energy: -12.88 eV per formula unit


# 9
# LiCdAsO4

LiCdAsO4 after structural relaxation (PBE-GGA, the Alexandria database).

Cell lengths 5.448, 5.448, 6.555 Å; angles 90.00, 90.00, 112.93 degrees
Sites, in units of the cell vectors:
1 Li 0.843 0.157 0.250
2 Li 0.157 0.843 0.750
3 Cd 0.500 0.500 0.500
4 Cd 0.500 0.500 0.000
5 As 0.145 0.855 0.250
6 As 0.855 0.145 0.750
7 O 0.202 0.243 0.750
8 O 0.757 0.798 0.750
9 O 0.753 0.247 0.969
10 O 0.753 0.247 0.531
11 O 0.247 0.753 0.031
12 O 0.247 0.753 0.469
13 O 0.798 0.757 0.250
14 O 0.243 0.202 0.250

Computed properties:
theoretical density: 4.787 Mg/m³
electronic total energy: -75.34 eV per cell
space group: Cmcm
uncorrected formation energy: -10.36 eV per formula unit


# 10
# Li2CdAsO4

Li2CdAsO4 after structural relaxation (PBE-GGA, the Alexandria database).

Cell lengths 5.092, 5.092, 5.350 Å; angles 118.37, 118.37, 90.07 degrees
Sites, in units of the cell vectors:
1 Li 0.750 0.250 0.500
2 Li 0.250 0.750 0.500
3 Cd 0.000 0.000 0.001
4 As 0.500 0.500 0.000
5 O 0.566 0.566 0.737
6 O 0.434 0.828 0.263
7 O 0.828 0.434 0.263
8 O 0.171 0.171 0.737

Computed properties:
theoretical density: 4.289 Mg/m³
electronic total energy: -40.93 eV per cell
space group: Fmm2
uncorrected formation energy: -11.71 eV per formula unit


# 11
# Li2Cd2AsPd4

Li2Cd2AsPd4 after structural relaxation (PBE-GGA, the Alexandria database).

Cell lengths 5.949, 5.949, 5.949 Å; angles 94.31, 117.55, 117.55 degrees
Sites, in units of the cell vectors:
1 Li 0.000 0.704 0.704
2 Li 0.000 0.296 0.296
3 Cd 0.500 0.750 0.250
4 Cd 0.500 0.250 0.750
5 As 0.000 0.000 0.000
6 Pd 0.000 0.729 0.271
7 Pd 0.457 0.729 0.729
8 Pd 0.000 0.271 0.729
9 Pd 0.543 0.271 0.271

Computed properties:
theoretical density: 7.975 Mg/m³
electronic total energy: -34.07 eV per cell
formation energy: -332 meV per atom
space group: I4/mmm


# 12
# Rb2LiCdAs2

Rb2LiCdAs2 after structural relaxation (PBE-GGA, the Alexandria database).

Cell lengths 6.594, 6.693, 9.358 Å; angles 110.95, 110.63, 90.00 degrees
Sites, in units of the cell vectors:
1 Rb 0.416 0.171 0.343
2 Rb 0.584 0.829 0.657
3 Rb 0.074 0.329 0.657
4 Rb 0.926 0.671 0.343
5 Li 0.000 0.750 0.000
6 Li 0.000 0.250 0.000
7 Cd 0.500 0.750 0.000
8 Cd 0.500 0.250 0.000
9 As 0.842 0.091 0.182
10 As 0.340 0.591 0.182
11 As 0.660 0.409 0.818
12 As 0.158 0.909 0.818

Computed properties:
theoretical density: 4.092 Mg/m³
electronic total energy: -33.08 eV per cell
formation energy: -413 meV per atom
space group: Ibam


# 13
# LiCdReAs2

LiCdReAs2 after structural relaxation (PBE-GGA, the Alexandria database).

Cell lengths 4.816, 5.315, 4.816 Å; angles 90.00, 90.00, 90.00 degrees
Sites, in units of the cell vectors:
1 Re 0.000 0.000 0.000
2 As 0.000 0.000 0.500
3 As 0.500 0.000 0.000
4 Li 0.500 0.500 0.500
5 Cd 0.000 0.500 0.000

Computed properties:
theoretical density: 6.135 Mg/m³
electronic total energy: -23.29 eV per cell
formation energy: 257 meV per atom
space group: P4/mmm


# 14
# LiCdAsS2

LiCdAsS2 after structural relaxation (PBE-GGA, the Alexandria database).

Cell lengths 5.116, 5.148, 5.116 Å; angles 90.00, 90.00, 90.00 degrees
Last column: magnetic moment on the atom in μB.
Sites, in units of the cell vectors:
1 As 0.000 0.500 0.000  0.45
2 Li 0.500 0.500 0.500  0.00
3 S 0.000 0.000 0.500  0.11
4 S 0.500 0.000 0.000  0.07
5 Cd 0.000 0.000 0.000  0.00

Computed properties:
theoretical density: 3.185 Mg/m³
electronic total energy: -13.53 eV per cell
space group: P4/mmm
uncorrected formation energy: 2.20 eV per formula unit